Entry 1:
Material: WSe5
Method: DFT, PBE
State: optimized geometry

abc: 4.9989 4.9989 8.4777
angles: 90.00 90.00 120.00
Atoms (fractional coordinates):
W 0.0000 0.0000 0.0000
Se 0.0000 0.5000 0.5000
Se 0.3333 0.6667 0.0000
Se 0.5000 0.0000 0.5000
Se 0.5000 0.5000 0.5000
Se 0.6667 0.3333 0.0000

Properties
As for the excess energy over the best structure of this formula in the dataset: 5.21 eV per formula unit. As for the total moment: 4.16 μB/f.u. The crystal system is hexagonal.

Entry 2:
Material: Sr3TbY2Se6
Method: DFT, PBE
State: optimized geometry

abc: 7.2913 7.2913 7.4667
angles: 99.39 99.39 119.94
Atoms (fractional coordinates):
Sr 0.0000 0.0000 0.0000
Sr 0.3334 0.6666 0.0000
Sr 0.6666 0.3334 0.0000
Tb 0.5000 0.5000 0.5000
Y 0.1666 0.8334 0.5000
Y 0.8334 0.1666 0.5000
Se 0.0892 0.4230 0.2687
Se 0.2434 0.2434 0.7314
Se 0.4230 0.0892 0.2687
Se 0.5770 0.9108 0.7313
Se 0.7566 0.7566 0.2686
Se 0.9108 0.5770 0.7313

Properties
The total energy comes out at -5.519 eV/atom. As for the total moment: 0.00 μB/f.u. The crystal system is monoclinic.

Entry 3:
Material: Ba8TlPd2
Method: DFT, PBE
State: optimized geometry

abc: 9.1772 9.1772 6.4012
angles: 97.38 97.38 109.80
Atoms (fractional coordinates):
Ba 0.0000 0.0000 0.0000
Ba 0.0491 0.3163 0.6188
Ba 0.1279 0.6214 0.2110
Ba 0.3163 0.0491 0.6188
Ba 0.4321 0.7001 0.8031
Ba 0.6214 0.1279 0.2110
Ba 0.7001 0.4321 0.8031
Ba 0.7469 0.7469 0.4196
Tl 0.3733 0.3733 0.2089
Pd 0.0606 0.6878 0.7108
Pd 0.6878 0.0606 0.7108

Properties
The value obtained for the formation enthalpy at 0 K is -230 meV per atom. As for the total moment: 0.00 μB/f.u. The crystal system is monoclinic.

Entry 4:
Material: MgZnCd2
Method: DFT, PBE
State: optimized geometry

abc: 4.2567 4.2567 19.9557
angles: 90.00 90.00 90.00
Atoms (fractional coordinates):
Mg 0.0000 0.0000 0.0000
Mg 0.0000 0.5000 0.2500
Mg 0.5000 0.0000 0.7500
Mg 0.5000 0.5000 0.5000
Zn 0.0000 0.0000 0.5000
Zn 0.0000 0.5000 0.7500
Zn 0.5000 0.0000 0.2500
Zn 0.5000 0.5000 0.0000
Cd 0.2443 0.2500 0.6250
Cd 0.2500 0.7443 0.8750
Cd 0.2500 0.7557 0.3750
Cd 0.2557 0.2500 0.1250
Cd 0.7443 0.7500 0.1250
Cd 0.7500 0.2443 0.3750
Cd 0.7500 0.2557 0.8750
Cd 0.7557 0.7500 0.6250

Properties
The value obtained for the formation enthalpy at 0 K is 87 meV per atom. As for the excess energy over the best structure of this formula in the dataset: 0.43 eV per formula unit. As for the total moment: 0.00 μB/f.u. The crystal system is tetragonal.

Entry 5:
Material: Cd2TcAg
Method: DFT, PBE
State: optimized geometry

abc: 4.0831 4.0831 19.8396
angles: 90.00 90.00 90.00
Atoms (fractional coordinates):
Cd 0.2477 0.2500 0.1250
Cd 0.2500 0.7477 0.3750
Cd 0.2500 0.7523 0.8750
Cd 0.2523 0.2500 0.6250
Cd 0.7477 0.7500 0.6250
Cd 0.7500 0.2477 0.8750
Cd 0.7500 0.2523 0.3750
Cd 0.7523 0.7500 0.1250
Tc 0.0000 0.0000 0.0000
Tc 0.0000 0.5000 0.2500
Tc 0.5000 0.0000 0.7500
Tc 0.5000 0.5000 0.5000
Ag 0.0000 0.0000 0.5000
Ag 0.0000 0.5000 0.7500
Ag 0.5000 0.0000 0.2500
Ag 0.5000 0.5000 0.0000

Properties
The value obtained for the formation enthalpy at 0 K is 736 meV per atom. As for the excess energy over the best structure of this formula in the dataset: 1.91 eV per formula unit. As for the total moment: 2.48 μB/f.u. The crystal system is tetragonal.

Entry 6:
Material: Ho3AuN
Method: DFT, PBE
State: optimized geometry

abc: 4.7264 4.7264 4.7264
angles: 90.00 90.00 90.00
Atoms (fractional coordinates):
Ho 0.0000 0.0000 0.5000
Ho 0.0000 0.5000 0.0000
Ho 0.5000 0.0000 0.0000
Au 0.5000 0.5000 0.5000
N 0.0000 0.0000 0.0000

Properties
The total energy comes out at -6.053 eV/atom. As for the total moment: 0.00 μB/f.u. The crystal system is cubic.